The following is a PBE-GGA calculation of a relaxed structure of TlVP2S, from the Alexandria database.

a b c (Å): 4.700 4.700 4.588
angles (deg): 90.00 90.00 90.00
Space group P4/mmm (No. 123)
Unique sites:
Tl1 0.000 0.000 0.000 (multiplicity 1)
V1 0.500 0.500 0.500 (multiplicity 1)
P1 0.000 0.500 0.500 (multiplicity 2)
S1 0.500 0.500 0.000 (multiplicity 1)

Computed properties:
uncorrected formation energy = 0.28 eV per formula unit
DOS(E_F) = 0.63 states/eV per atom
relative energy among the computed polymorphs = 0 meV/atom